[1]
An optimized crystal structure of ScPaGe2. Source: Alexandria, functional PBE.

Cell and atoms, written as CIF:
```
data_ScPaGe2
_chemical_formula_sum 'Sc1 Pa1 Ge2'
_cell_length_a 3.257
_cell_length_b 3.257
_cell_length_c 7.720
_cell_angle_alpha 90.00
_cell_angle_beta 90.00
_cell_angle_gamma 90.00
_space_group_name_H-M_alt 'P 4/m m m'
_space_group_IT_number 123
_space_group_name_Hall '-P 4 2'
loop_
_atom_site_label
_atom_site_fract_x
_atom_site_fract_y
_atom_site_fract_z
_atom_site_occupancy
Sc1 0.000 0.000 0.000 1
Pa1 0.000 0.000 0.500 1
Ge1 0.500 0.500 0.237 1
```

The energy above the most stable polymorph in this dataset comes out at 9.32 kJ per mole of atoms. For the magnetization, the calculation gives 0.000 μB/f.u. The formation energy comes out at -466 meV per atom. Its final energy is -26.924 eV per formula unit.

---

[2]
An optimized crystal structure of CrCuMo2. Source: Alexandria, functional PBE.

Cell and atoms, written as CIF:
```
data_CrCuMo2
_chemical_formula_sum 'Cr2 Cu2 Mo4'
_cell_length_a 3.186
_cell_length_b 4.226
_cell_length_c 8.349
_cell_angle_alpha 90.00
_cell_angle_beta 90.00
_cell_angle_gamma 90.00
_space_group_name_H-M_alt 'I m m 2'
_space_group_IT_number 44
_space_group_name_Hall 'I 2 -2'
loop_
_atom_site_label
_atom_site_fract_x
_atom_site_fract_y
_atom_site_fract_z
_atom_site_occupancy
Cr1 0.000 0.000 0.000 1
Cu1 0.000 0.500 0.753 1
Mo1 0.000 0.000 0.521 1
Mo2 0.000 0.500 0.271 1
```

The energy above the most stable polymorph in this dataset comes out at 10.24 kJ per mole of atoms. For the magnetization, the calculation gives 0.000 μB/f.u. The formation energy comes out at 278 meV per atom. Its final energy is -34.270 eV per formula unit.

---

[3]
An optimized crystal structure of PmMg3As3. Source: Alexandria, functional PBE.

Cell and atoms, written as CIF:
```
data_PmMg3As3
_chemical_formula_sum 'Pm6 Mg18 As18'
_cell_length_a 7.6398
_cell_length_b 7.6398
_cell_length_c 20.9880
_cell_angle_alpha 90.00
_cell_angle_beta 90.00
_cell_angle_gamma 120.00
_space_group_name_H-M_alt 'R -3'
_space_group_IT_number 148
_space_group_name_Hall '-R 3'
loop_
_atom_site_label
_atom_site_fract_x
_atom_site_fract_y
_atom_site_fract_z
_atom_site_occupancy
Pm1 0.0000 0.0000 0.1668 1
Mg1 0.0075 0.3166 0.6196 1
As1 0.0047 0.3529 0.4171 1
```

For the magnetization, the calculation gives 0.000 μB/f.u. The formation energy comes out at -847 meV per atom. Its final energy is -29.414 eV per formula unit.

---

[4]
An optimized crystal structure of LiSb2Se. Source: Alexandria, functional PBE.

Cell and atoms, written as CIF:
```
data_LiSb2Se
_chemical_formula_sum 'Li2 Sb4 Se2'
_cell_length_a 6.503
_cell_length_b 8.107
_cell_length_c 3.523
_cell_angle_alpha 90.00
_cell_angle_beta 90.00
_cell_angle_gamma 90.00
_space_group_name_H-M_alt 'C m m m'
_space_group_IT_number 65
_space_group_name_Hall '-C 2 2'
loop_
_atom_site_label
_atom_site_fract_x
_atom_site_fract_y
_atom_site_fract_z
_atom_site_occupancy
Li1 0.000 0.000 0.000 1
Sb1 0.250 0.250 0.500 1
Se1 0.000 0.500 0.000 1
```

For the formation energy (no corrections), the calculation gives -0.069 eV per atom. For the magnetization, the calculation gives 0.000 μB/f.u. Its final energy is -13.918 eV per formula unit.

---

[5]
An optimized crystal structure of PmY2Hg4. Source: Alexandria, functional PBE.

Cell and atoms, written as CIF:
```
data_PmY2Hg4
_chemical_formula_sum 'Pm3 Y6 Hg12'
_cell_length_a 5.1176
_cell_length_b 5.1176
_cell_length_c 26.4520
_cell_angle_alpha 90.00
_cell_angle_beta 90.00
_cell_angle_gamma 120.00
_space_group_name_H-M_alt 'R -3 m'
_space_group_IT_number 166
_space_group_name_Hall '-R 3 2"'
loop_
_atom_site_label
_atom_site_fract_x
_atom_site_fract_y
_atom_site_fract_z
_atom_site_occupancy
Pm1 0.0000 0.0000 0.0000 1
Y1 0.0000 0.0000 0.2424 1
Hg1 0.0000 0.0000 0.1267 1
Hg2 0.0000 0.0000 0.3805 1
```

For the magnetization, the calculation gives 0.000 μB/f.u. The formation energy comes out at -339 meV per atom. Its final energy is -21.258 eV per formula unit.

---

[6]
An optimized crystal structure of CaLaLuAl. Source: Alexandria, functional PBE.

Cell and atoms, written as CIF:
```
data_CaLaLuAl
_chemical_formula_sum 'Ca4 La4 Lu4 Al4'
_cell_length_a 7.722
_cell_length_b 7.722
_cell_length_c 7.722
_cell_angle_alpha 90.00
_cell_angle_beta 90.00
_cell_angle_gamma 90.00
_space_group_name_H-M_alt 'F -4 3 m'
_space_group_IT_number 216
_space_group_name_Hall 'F -4 2 3'
loop_
_atom_site_label
_atom_site_fract_x
_atom_site_fract_y
_atom_site_fract_z
_atom_site_occupancy
Ca1 0.000 0.000 0.000 1
La1 0.250 0.250 0.250 1
Lu1 0.250 0.250 0.750 1
Al1 0.000 0.000 0.500 1
```

For the magnetization, the calculation gives 0.002 μB/f.u. The formation energy comes out at -45 meV per atom. Its final energy is -15.373 eV per formula unit.

---

Q: final energy of number 3 (PmMg3As3)?
A: -29.414 eV per formula unit